1.
The following is a PBE-GGA calculation of a relaxed structure of YZrMnZn, from Alexandria via LeMat-Bulk.

## Properties
DFT total energy   -6.374 eV per atom

Cell: 4.835 4.835 4.835 Å, 60.00 60.00 60.00°
Each line ends with the local moment (μB).
Positions (direct):
1 Zr 0.250 0.250 0.250  -0.61
2 Y 0.750 0.750 0.750  -0.17
3 Mn 0.000 0.000 0.000  2.82
4 Zn 0.500 0.500 0.500  -0.03


2.
The following is a PBE-GGA calculation of a relaxed structure of AgPC3, from Alexandria via LeMat-Bulk.

## Properties
DFT total energy   -5.085 eV per atom

Cell: 3.704 3.704 3.704 Å, 90.00 90.00 90.00°
Positions (direct):
1 C 0.500 0.000 0.000
2 C 0.000 0.000 0.500
3 C 0.000 0.500 0.000
4 Ag 0.500 0.500 0.500
5 P 0.000 0.000 0.000


DFT formation energy: -0.011; 2.101 (eV/atom)